{
  "formula": "ScSnIrOs",
  "functional": "PBE",
  "state": "optimized geometry",
  "lattice": [[4.555, 0.000, 0.000], [2.277, 3.944, 0.000], [2.277, 1.315, 3.719]],
  "species": ["Sc", "Ir", "Sn", "Os"],
  "frac_coords": [[0.250, 0.250, 0.250], [0.500, 0.500, 0.500], [0.750, 0.750, 0.750], [0.000, 0.000, 0.000]]
}



{
  "formula": "ScTa2IrOs",
  "functional": "PBE",
  "state": "optimized geometry",
  "lattice": [[4.823, 0.000, 0.000], [0.000, 4.800, 0.000], [0.000, 0.000, 4.823]],
  "species": ["Ir", "Os", "Ta", "Ta", "Sc"],
  "frac_coords": [[0.000, 0.000, 0.000], [0.000, 0.500, 0.000], [0.000, 0.000, 0.500], [0.500, 0.000, 0.000], [0.500, 0.500, 0.500]]
}



{
  "formula": "TbScIrOs",
  "functional": "PBE",
  "state": "optimized geometry",
  "lattice": [[-1.530, -3.231, -3.060], [1.372, -4.481, 0.426], [-3.076, -3.281, 1.384]],
  "species": ["Ir", "Os", "Tb", "Sc"],
  "frac_coords": [[0.000, 0.000, 0.000], [0.500, 0.500, 0.500], [0.750, 0.750, 0.750], [0.250, 0.250, 0.250]]
}



{
  "formula": "ScUIrOs",
  "functional": "PBE",
  "state": "optimized geometry",
  "lattice": [[-0.335, -3.045, -3.580], [-1.556, -4.380, 0.770], [-4.237, -1.309, -1.591]],
  "species": ["U", "Ir", "Sc", "Os"],
  "frac_coords": [[0.750, 0.750, 0.750], [0.000, 0.000, 0.000], [0.250, 0.250, 0.250], [0.500, 0.500, 0.500]]
}



Listing E for the structures above in their given order: -32.17, -44.84, -33.09, -39.33 eV for the cell shown.